# V2Ni2Pt, relaxed, DFT GGA-PBE
# D(E_F): 8.30 states/eV per cell
# DFT formation energy: -4 kJ per mole of atoms
# Relative energy among the computed polymorphs: 5.28 kcal/mol of atoms
data_V2Ni2Pt
_chemical_formula_sum 'V4 Ni4 Pt2'
_cell_length_a 4.803
_cell_length_b 6.360
_cell_length_c 6.955
_cell_angle_alpha 90.00
_cell_angle_beta 89.99
_cell_angle_gamma 139.03
_symmetry_space_group_name_H-M 'P 1'
_symmetry_Int_Tables_number 1
loop_
_symmetry_equiv_pos_as_xyz
'x,y,z'
loop_
_atom_site_label
_atom_site_type_symbol
_atom_site_fract_x
_atom_site_fract_y
_atom_site_fract_z
_atom_site_occupancy
V1 V 0.331 0.000 0.706 1
V2 V 0.331 0.500 0.794 1
V3 V 0.669 0.000 0.294 1
V4 V 0.669 0.500 0.206 1
Ni1 Ni 0.827 0.000 0.624 1
Ni2 Ni 0.826 0.500 0.876 1
Ni3 Ni 0.173 0.000 0.376 1
Ni4 Ni 0.174 0.500 0.124 1
Pt1 Pt 0.000 0.000 0.000 1
Pt2 Pt 0.000 0.500 0.500 1

# InTcTe4, relaxed, DFT GGA-PBE
# D(E_F): 4.58 states/eV per cell
# E_form (uncorrected): 5.36 eV/f.u.
data_InTcTe4
_chemical_formula_sum 'In1 Tc1 Te4'
_cell_length_a 6.380
_cell_length_b 6.380
_cell_length_c 6.380
_cell_angle_alpha 60.00
_cell_angle_beta 60.00
_cell_angle_gamma 60.00
_symmetry_space_group_name_H-M 'P 1'
_symmetry_Int_Tables_number 1
loop_
_symmetry_equiv_pos_as_xyz
'x,y,z'
loop_
_atom_site_label
_atom_site_type_symbol
_atom_site_fract_x
_atom_site_fract_y
_atom_site_fract_z
_atom_site_occupancy
In1 In 0.750 0.750 0.750 1
Tc1 Tc 0.000 0.000 0.000 1
Te1 Te 0.877 0.374 0.374 1
Te2 Te 0.374 0.374 0.877 1
Te3 Te 0.374 0.877 0.374 1
Te4 Te 0.374 0.374 0.374 1

Number 1: V 13.9 Å³/atom. Number 2: V 30.6 Å³/atom.